{"formula": "CoSbS2", "functional": "PBE", "state": "relaxed", "lattice_angstrom": [[6.624, 2.971, 2.396], [7.298, -0.901, 2.092], [7.436, 1.381, -1.119]], "species": ["Sb", "S", "S", "Co"], "frac_coords": [[0.500, 0.500, 0.500], [0.903, 0.903, 0.903], [0.097, 0.097, 0.097], [0.000, 0.000, 0.000]], "magnetic_moment_mub_per_atom": 0.500, "formation_energy_uncorrected_ev_per_atom": 0.218, "e_tot_ev_per_atom": -4.6523, "density_g_cm3": 4.1, "space_group": "R-3m (166)"}